1.
A geometry-optimized CeY3Cd4 structure. Source: Alexandria, functional PBE.

Lattice parameters (Å, degrees): 10.6366 7.5982 5.3189 90.00 90.00 90.00
Space group Pmma (No. 51)
Symmetry-distinct sites (fractional):
Ce 0.0000 0.0000 0.0000
Y 0.0000 0.5000 0.0000
Y 0.2500 0.0000 0.4986
Y 0.2500 0.5000 0.4987
Cd 0.0000 0.2578 0.5000
Cd 0.2500 0.2578 0.9985

2.
A geometry-optimized RhPbN2O structure. Source: Alexandria, functional PBE.

Output
- formation energy without anion corrections (eV per atom) = 0.578

Lattice parameters (Å, degrees): 3.8646 3.8646 4.4238 90.00 90.00 90.00
Space group P4/mmm (No. 123)
Symmetry-distinct sites (fractional):
Rh 0.0000 0.0000 0.0000
Pb 0.5000 0.5000 0.5000
N 0.0000 0.5000 0.0000
O 0.0000 0.0000 0.5000

The records above yield volume values of 430, 66 Å³ per cell, respectively.
The records above yield DFT total energy values of -3.90, -5.96 eV per atom, respectively.